PbC3: optimized geometry, PBE.

Lattice parameters (Å, degrees): 2.637 3.478 6.253 65.30 90.00 90.00
Positions (direct):
C: 0.000 0.062 0.742
C: 0.500 0.750 0.750
Pb: 0.500 0.250 0.250
C: 0.000 0.438 0.758

Summary:
The formation energy is 1.737 eV/atom. The energy above the most stable polymorph in this dataset comes out at 3.40 eV per formula unit. As for the symmetry: P2/m (10).


PbC5: optimized geometry, PBE.

Lattice parameters (Å, degrees): 8.843 8.843 3.682 90.00 90.00 162.98
Each line ends with the local moment (μB).
Positions (direct):
C: 0.942 0.058 0.500  0.15
Pb: 0.130 0.870 0.500  0.04
C: 0.793 0.207 0.000  -0.01
C: 0.430 0.570 0.500  -0.08
C: 0.711 0.289 0.000  0.10
C: 0.328 0.672 0.000  0.40

Summary:
The formation energy is 1.488 eV/atom. The energy above the most stable polymorph in this dataset comes out at 2.73 eV per formula unit. As for the symmetry: Amm2 (38).


Pb3C: optimized geometry, PBE.

Lattice parameters (Å, degrees): 3.537 5.880 5.758 60.70 90.00 90.00
Positions (direct):
Pb: 0.500 0.330 0.835
C: 0.000 0.000 0.000
Pb: 0.500 0.670 0.165
Pb: 0.000 0.000 0.500

Summary:
The formation energy is 0.922 eV/atom. The energy above the most stable polymorph in this dataset comes out at 0.89 eV per formula unit. As for the symmetry: Cmmm (65).


PbC2: optimized geometry, PBE.

Lattice parameters (Å, degrees): 2.755 2.755 17.574 90.00 90.00 120.00
Positions (direct):
C: 0.333 0.667 0.000
C: 0.667 0.333 0.000
C: 0.333 0.667 0.500
Pb: 0.667 0.333 0.250
Pb: 0.333 0.667 0.750
C: 0.667 0.333 0.500

Summary:
The formation energy is 1.167 eV/atom. The energy above the most stable polymorph in this dataset comes out at 2.36 eV per formula unit. As for the symmetry: P6_3/mmc (194).


Pb3C: optimized geometry, PBE.

Lattice parameters (Å, degrees): 4.698 4.698 4.608 90.00 90.00 90.00
Positions (direct):
Pb: 0.500 0.500 0.000
Pb: 0.500 0.000 0.500
C: 0.000 0.000 0.000
Pb: 0.000 0.500 0.500

Summary:
The formation energy is 1.382 eV/atom. The energy above the most stable polymorph in this dataset comes out at 2.73 eV per formula unit. As for the symmetry: P4/mmm (123).


PbC2: optimized geometry, PBE.

Lattice parameters (Å, degrees): 3.479 3.479 4.677 90.00 90.00 90.00
Each line ends with the local moment (μB).
Positions (direct):
Pb: 0.000 0.000 0.000  0.01
C: 0.500 0.500 0.000  -0.36
C: 0.000 0.000 0.500  0.62

Summary:
The formation energy is 3.402 eV/atom. The energy above the most stable polymorph in this dataset comes out at 9.06 eV per formula unit. As for the symmetry: P4/mmm (123).


PbC3: optimized geometry, PBE.

Lattice parameters (Å, degrees): 4.742 4.742 4.742 90.00 90.00 90.00
Each line ends with the local moment (μB).
Positions (direct):
C: 0.000 0.000 0.500  0.83
Pb: 0.000 0.000 0.000  0.02
C: 0.000 0.500 0.000  0.83
C: 0.500 0.000 0.000  0.83

Summary:
The formation energy is 4.417 eV/atom. The energy above the most stable polymorph in this dataset comes out at 14.11 eV per formula unit. As for the symmetry: Pm-3m (221).


PbC3: optimized geometry, PBE.

Lattice parameters (Å, degrees): 5.654 5.654 5.654 153.83 80.35 105.67
Positions (direct):
C: 0.750 0.250 0.500
Pb: 0.250 0.750 0.500
C: 0.879 0.879 0.000
C: 0.621 0.621 0.000

Summary:
The formation energy is 2.210 eV/atom. The energy above the most stable polymorph in this dataset comes out at 5.28 eV per formula unit. As for the symmetry: Immm (71).


PbC2: optimized geometry, PBE.

Lattice parameters (Å, degrees): 4.473 4.473 4.861 90.00 90.00 120.00
Positions (direct):
C: 0.667 0.333 0.750
Pb: 0.333 0.667 0.750
C: 0.000 0.000 0.000
C: 0.000 0.000 0.500
C: 0.333 0.667 0.250
Pb: 0.667 0.333 0.250

Summary:
The formation energy is 3.119 eV/atom. The energy above the most stable polymorph in this dataset comes out at 8.21 eV per formula unit. As for the symmetry: P6_3/mmc (194).


PbC2: optimized geometry, PBE.

Lattice parameters (Å, degrees): 7.167 7.167 4.283 90.00 90.00 149.37
Positions (direct):
C: 0.950 0.050 0.500
C: 0.000 0.000 0.000
Pb: 0.619 0.381 0.000
C: 0.050 0.950 0.500
C: 0.500 0.500 0.500
Pb: 0.381 0.619 0.000

Summary:
The formation energy is 2.264 eV/atom. The energy above the most stable polymorph in this dataset comes out at 5.65 eV per formula unit. As for the symmetry: Cmmm (65).


PbC2: optimized geometry, PBE.

Lattice parameters (Å, degrees): 4.947 4.947 4.947 60.00 60.00 60.00
Positions (direct):
C: 0.125 0.125 0.125
C: 0.125 0.625 0.125
C: 0.125 0.125 0.625
Pb: 0.500 0.500 0.500
C: 0.625 0.125 0.125
Pb: 0.750 0.750 0.750

Summary:
The formation energy is 3.186 eV/atom. The energy above the most stable polymorph in this dataset comes out at 8.41 eV per formula unit. As for the symmetry: Fd-3m (227).


PbC3: optimized geometry, PBE.

Lattice parameters (Å, degrees): 5.674 5.674 5.674 146.45 76.20 113.90
Positions (direct):
Pb: 0.280 0.000 0.280
C: 0.833 0.709 0.124
C: 0.415 0.291 0.124
C: 0.638 0.500 0.138

Summary:
The formation energy is 1.584 eV/atom. The energy above the most stable polymorph in this dataset comes out at 2.78 eV per formula unit. As for the symmetry: Imm2 (44).


no.,electronic total energy (eV per atom),magnetic moment (μB/atom)
1,-6.1076,0.00
2,-6.8166,0.17
3,-4.1657,0.00
4,-6.2181,0.00
5,-3.7052,0.00
6,-3.9837,0.18
7,-3.4276,1.30
8,-5.6354,0.00
9,-4.2667,0.00
10,-5.1210,0.00
11,-4.1989,0.00
12,-6.2608,0.00